16
Lattice="9.7473 0.0000 0.0000 -4.8737 8.4414 0.0000 0.0000 0.0000 6.4354" Properties=species:S:1:pos:R:3 comment="La3Te5 PBE relaxed" raw_formation_energy_mev_per_atom=-1505 dos_ef_per_ev_fu=1.80 e_tot_ev_per_cell=-85.1 pbc="T T T"
La -1.8057 3.1275 1.6089
La -3.0680 5.3139 4.8266
La 3.6113 0.0000 1.6089
La 1.8057 3.1275 4.8266
La 6.1360 0.0000 4.8266
La 3.0680 5.3139 1.6089
Te -1.3474 2.3338 4.8266
Te -3.5262 6.1076 1.6089
Te 2.6949 0.0000 4.8266
Te 1.3474 2.3338 1.6089
Te 0.0000 5.6276 0.0000
Te 0.0000 5.6276 3.2177
Te 4.8737 2.8138 0.0000
Te 4.8737 2.8138 3.2177
Te 7.0525 0.0000 1.6089
Te 3.5262 6.1076 4.8266

---

5
Lattice="-2.8933 3.7547 5.0196 2.8933 -3.7547 5.0196 2.8933 3.7547 -5.0196" Properties=species:S:1:pos:R:3 comment="K3Bi2 PBE relaxed" formation_energy_ev_per_atom=-0.3284 dos_ef_per_ev_fu=4.88 e_tot_ev_per_cell=-12.7 pbc="T T T"
K 0.0000 0.0000 0.0000
K 2.8933 0.0000 3.0467
K 0.0000 3.7547 1.9729
Bi 2.8933 2.2526 0.0000
Bi 0.0000 1.5020 5.0196

---

9
Lattice="0.0000 4.2249 4.2249 4.2249 0.0000 4.2249 4.2249 4.2249 0.0000" Properties=species:S:1:pos:R:3 comment="Ba2TaO6 PBE relaxed" raw_formation_energy_mev_per_atom=-2067 dos_ef_per_ev_fu=8.55 e_tot_ev_per_cell=-64.1 pbc="T T T"
Ba 2.1124 2.1124 2.1124
Ba 6.3373 6.3373 6.3373
Ta 0.0000 0.0000 0.0000
O 4.2249 4.2249 1.9780
O 4.2249 1.9780 4.2249
O 6.4718 4.2249 4.2249
O 1.9780 4.2249 4.2249
O 4.2249 6.4718 4.2249
O 4.2249 4.2249 6.4718

---

4
Lattice="3.7971 0.0000 0.0000 0.0000 4.4523 0.0000 0.0000 0.0000 5.0239" Properties=species:S:1:pos:R:3 comment="Zr2CdSe PBE relaxed" raw_formation_energy_mev_per_atom=-268 dos_ef_per_ev_fu=3.46 e_tot_ev_per_cell=-22.6 pbc="T T T"
Zr 0.0000 0.0000 0.0000
Zr 1.8986 0.0000 2.5119
Cd 0.0000 2.2262 2.5119
Se 1.8986 2.2262 0.0000

---

15
Lattice="4.6847 2.7047 8.5319 -4.6847 2.7047 8.5319 0.0000 -5.4094 8.5319" Properties=species:S:1:pos:R:3 comment="K2Na13 PBE relaxed" formation_energy_ev_per_atom=0.0649 dos_ef_per_ev_fu=8.91 e_tot_ev_per_cell=-18.4 pbc="T T T"
K 0.0000 0.0000 4.2103
K 0.0000 0.0000 21.3855
Na 0.0000 0.0000 0.0000
Na 0.0000 -2.0794 7.5672
Na -1.8008 1.0397 7.5672
Na 0.0000 -2.0077 11.1519
Na -1.7388 1.0039 11.1519
Na -1.7388 -1.0039 14.4439
Na -1.8008 -1.0397 18.0286
Na 1.8008 1.0397 7.5672
Na 1.7388 1.0039 11.1519
Na 1.7387 -1.0039 14.4439
Na 0.0000 2.0077 14.4439
Na 1.8009 -1.0397 18.0286
Na 0.0000 2.0794 18.0286

---

5
Lattice="5.3283 0.0000 0.0000 0.0000 5.3283 0.0000 0.0000 0.0000 5.2032" Properties=species:S:1:pos:R:3 comment="Hf2AlSnHg PBE relaxed" formation_energy_ev_per_atom=1.1277 dos_ef_per_ev_fu=4.92 e_tot_ev_per_cell=-22.3 pbc="T T T"
Hf 0.0000 2.6642 0.0000
Hf 2.6642 0.0000 0.0000
Al 0.0000 0.0000 2.6016
Sn 2.6642 2.6642 0.0000
Hg 2.6642 2.6642 2.6016

---

3
Lattice="0.0000 3.3906 3.3906 3.3906 0.0000 3.3906 3.3906 3.3906 0.0000" Properties=species:S:1:pos:R:3 comment="TbYOs PBE relaxed" formation_energy_ev_per_atom=-0.1770 dos_ef_per_ev_fu=1.74 e_tot_ev_per_cell=-22.9 pbc="T T T"
Tb 0.0000 0.0000 0.0000
Y 3.3906 3.3906 3.3906
Os 5.0859 5.0859 5.0859

---

4
Lattice="3.6559 0.0000 0.0000 0.0000 3.6559 0.0000 0.0000 0.0000 7.6995" Properties=species:S:1:pos:R:3 comment="KInAu2 PBE relaxed" formation_energy_ev_per_atom=-0.1665 dos_ef_per_ev_fu=1.69 e_tot_ev_per_cell=-11.1 pbc="T T T"
K 0.0000 0.0000 0.0000
In 0.0000 0.0000 3.8498
Au 1.8280 1.8280 2.3443
Au 1.8280 1.8280 5.3552

---

6
Lattice="3.6004 0.0000 0.0000 0.0000 3.6004 0.0000 0.0000 0.0000 10.8620" Properties=species:S:1:pos:R:3 comment="DySc2Cd3 PBE relaxed" formation_energy_ev_per_atom=-0.2957 dos_ef_per_ev_fu=5.91 e_tot_ev_per_cell=-21.8 pbc="T T T"
Dy 0.0000 0.0000 0.0000
Sc 0.0000 0.0000 3.6941
Sc 0.0000 0.0000 7.1679
Cd 1.8002 1.8002 1.9962
Cd 1.8002 1.8002 5.4310
Cd 1.8002 1.8002 8.8658

---

12
Lattice="0.0000 4.4730 7.8366 3.5390 0.0000 7.8366 3.5390 4.4730 0.0000" Properties=species:S:1:pos:R:3 comment="Tb2TlCu3 PBE relaxed" formation_energy_ev_per_atom=-0.1943 dos_ef_per_ev_fu=4.18 e_tot_ev_per_cell=-50.2 pbc="T T T"
Tb 5.3921 4.4730 7.8366
Tb 1.7695 2.2365 3.9183
Tb 5.3085 6.7096 11.7548
Tb 1.6858 4.4730 7.8366
Tl 3.5390 4.4730 5.2568
Tl 3.5390 4.4730 10.4163
Cu 3.5390 2.1447 6.5919
Cu 3.5390 4.4730 2.5318
Cu 3.5390 2.1447 9.0812
Cu 3.5390 6.8014 6.5919
Cu 3.5390 4.4730 13.1413
Cu 3.5390 6.8014 9.0812

---

8
Lattice="-3.7502 3.7502 3.5392 3.7502 -3.7502 3.5392 3.7502 3.7502 -3.5392" Properties=species:S:1:pos:R:3 comment="LaYBe2 PBE relaxed" formation_energy_ev_per_atom=0.6657 dos_ef_per_ev_fu=3.78 e_tot_ev_per_cell=-32.4 pbc="T T T"
La 0.0000 0.0000 0.0000
La 0.0000 3.7502 1.7696
Y 3.7502 0.0000 1.7696
Y 0.0000 0.0000 3.5392
Be 1.8751 -1.7641 2.6544
Be 1.9861 1.8751 0.8848
Be 1.8751 5.5143 -0.8848
Be 1.7641 1.8751 4.4240

---

10
Lattice="4.4776 0.0000 0.0000 0.0000 5.7233 0.0000 -2.2352 0.0000 6.2708" Properties=species:S:1:pos:R:3 comment="TiZn3Au PBE relaxed" formation_energy_ev_per_atom=-0.1168 dos_ef_per_ev_fu=3.01 e_tot_ev_per_cell=-31.2 pbc="T T T"
Ti -0.0011 1.4308 1.2775
Ti 2.2435 4.2925 4.9933
Zn 0.0028 2.9057 3.9078
Zn 0.0028 5.6792 3.9078
Zn 0.0026 1.4308 6.1328
Zn 2.2398 4.2925 0.1381
Zn 2.2396 0.0441 2.3630
Zn 2.2396 2.8176 2.3630
Au 0.0008 4.2925 1.5681
Au 2.2416 1.4308 4.7027

---

4
Lattice="4.4659 -1.5136 0.0000 4.4659 1.5136 0.0000 -1.3969 0.0000 5.6877" Properties=species:S:1:pos:R:3 comment="Re2PbBr PBE relaxed" raw_formation_energy_mev_per_atom=1253 dos_ef_per_ev_fu=3.61 e_tot_ev_per_cell=-25.3 pbc="T T T"
Re 1.7589 0.0000 1.7667
Re 5.7760 0.0000 3.9209
Pb 4.4659 0.0000 0.0000
Br -0.6984 0.0000 2.8438

---

20
Lattice="6.5084 3.7576 3.0267 -6.5084 3.7576 3.0267 0.0000 -7.5153 3.0267" Properties=species:S:1:pos:R:3 comment="Mg7Cd12Ag PBE relaxed" formation_energy_ev_per_atom=-0.0470 dos_ef_per_ev_fu=6.42 e_tot_ev_per_cell=-25.9 pbc="T T T"
Mg 0.0000 0.0000 0.0000
Mg -1.9557 -2.0624 3.8234
Mg -2.7640 0.6625 5.2567
Mg -0.8083 2.7249 3.8234
Mg 0.8083 -2.7249 5.2567
Mg 2.7640 -0.6625 3.8234
Mg 1.9557 2.0624 5.2567
Cd -2.3032 0.5562 2.2864
Cd -0.8622 -4.7590 3.7389
Cd -4.5525 -1.6328 5.3412
Cd 0.6699 -2.2728 2.2864
Cd -3.6903 3.1262 3.7389
Cd 1.6333 1.7165 2.2864
Cd -1.6333 -1.7165 6.7936
Cd 3.6903 -3.1262 5.3412
Cd -0.6699 2.2728 6.7936
Cd 4.5525 1.6328 3.7389
Cd 0.8622 4.7590 5.3412
Cd 2.3032 -0.5562 6.7936
Ag 0.0000 0.0000 4.5400

---

4
Lattice="3.5241 -2.1752 0.0000 3.5241 2.1752 0.0000 -2.9979 0.0000 9.2772" Properties=species:S:1:pos:R:3 comment="K2BeZn PBE relaxed" formation_energy_ev_per_atom=0.3710 dos_ef_per_ev_fu=2.02 e_tot_ev_per_cell=-5.7 pbc="T T T"
K 0.0000 0.0000 0.0000
K 0.0059 0.0000 4.9923
Be 2.2925 0.0000 2.4976
Zn 4.7367 0.0000 2.4968

---

14
Lattice="-4.3239 4.3239 4.3678 4.3239 -4.3239 4.3678 4.3239 4.3239 -4.3678" Properties=species:S:1:pos:R:3 comment="Mg5Cd8Hg PBE relaxed" formation_energy_ev_per_atom=-0.0078 dos_ef_per_ev_fu=5.08 e_tot_ev_per_cell=-15.7 pbc="T T T"
Mg 0.0000 0.0000 0.0000
Mg 5.3048 2.6191 -0.7943
Mg 2.6191 3.3431 0.7943
Mg -0.9809 1.7048 3.5736
Mg 1.7048 0.9809 5.1621
Cd 2.7799 3.3123 -2.1485
Cd 1.5440 1.0117 2.2194
Cd -0.5613 2.9191 0.6791
Cd 5.3356 2.7799 2.1485
Cd 0.5613 5.7288 0.6791
Cd 1.4049 3.7627 3.6887
Cd -1.0117 1.5440 6.5163
Cd -1.4049 4.8852 3.6887
Hg 4.3239 0.0000 2.1839

---

7
Lattice="-2.7878 2.7878 8.9918 2.7878 -2.7878 8.9918 2.7878 2.7878 -8.9918" Properties=species:S:1:pos:R:3 comment="Ba2TlSe2I2 PBE relaxed" raw_formation_energy_mev_per_atom=-1356 dos_ef_per_ev_fu=2.30 e_tot_ev_per_cell=-25.8 pbc="T T T"
Ba 0.0000 0.0000 2.0707
Ba 0.0000 0.0000 15.9129
Tl 0.0000 0.0000 8.9918
Se 2.7878 0.0000 0.0000
Se 0.0000 2.7878 0.0000
I 0.0000 0.0000 5.5756
I 0.0000 0.0000 12.4081

---

12
Lattice="3.3683 -5.8264 0.0000 3.3683 5.8264 0.0000 -2.2259 0.0000 6.7518" Properties=species:S:1:pos:R:3 comment="Na3Ce2RhS6 PBE relaxed" raw_formation_energy_mev_per_atom=-1342 dos_ef_per_ev_fu=11.48 e_tot_ev_per_cell=-64.0 pbc="T T T"
Na 0.0000 0.0000 0.0000
Na 3.3683 1.9275 0.0000
Na 3.3683 -1.9275 0.0000
Ce 2.2554 3.8703 3.3759
Ce 2.2554 -3.8703 3.3759
Rh 2.2554 0.0000 3.3759
S 1.2009 1.8029 1.8488
S 0.2084 0.0000 4.8464
S 1.2009 -1.8029 1.8488
S 3.3099 1.8029 4.9030
S 4.3024 0.0000 1.9053
S 3.3099 -1.8029 4.9030

---

20
Lattice="6.2191 0.0000 0.0000 0.0000 6.1950 0.0000 -6.1970 0.0000 8.7463" Properties=species:S:1:pos:R:3 comment="Ba2CaUO6 PBE relaxed" raw_formation_energy_mev_per_atom=-3130 dos_ef_per_ev_fu=0.00 e_tot_ev_per_cell=-156.4 pbc="T T T"
Ba -0.0338 0.1244 2.1906
Ba -3.1323 2.9731 6.5637
Ba 3.1543 3.2219 2.1826
Ba 0.0558 6.0706 6.5557
Ca 3.1095 0.0000 0.0000
Ca 0.0110 3.0975 4.3731
U -3.0985 0.0000 4.3731
U 0.0000 3.0975 0.0000
O -4.8833 1.4912 8.3925
O -1.7848 1.6063 4.0194
O -4.5957 4.4165 8.4267
O -1.4972 4.8760 4.0535
O -2.6490 0.0877 6.4226
O 0.4495 3.0098 2.0495
O -0.4274 3.1852 6.6968
O 2.6711 6.1073 2.3237
O 1.5192 1.3190 4.6927
O 4.6177 1.7785 0.3196
O 1.8069 4.5887 4.7269
O 4.9054 4.7038 0.3538

---

4
Lattice="0.0000 4.1353 4.1353 4.1353 0.0000 4.1353 4.1353 4.1353 0.0000" Properties=species:S:1:pos:R:3 comment="CePr3 PBE relaxed" formation_energy_ev_per_atom=0.2045 dos_ef_per_ev_fu=12.28 e_tot_ev_per_cell=-19.5 pbc="T T T"
Ce 0.0000 0.0000 0.0000
Pr 2.0676 2.0676 2.0676
Pr 4.1353 4.1353 4.1353
Pr 6.2029 6.2029 6.2029

---

3
Lattice="4.8756 0.0000 0.0000 -2.4378 4.2224 0.0000 0.0000 0.0000 4.4741" Properties=species:S:1:pos:R:3 comment="AcMgSb PBE relaxed" raw_formation_energy_mev_per_atom=-668 dos_ef_per_ev_fu=0.51 e_tot_ev_per_cell=-11.8 pbc="T T T"
Ac 0.0000 0.0000 0.0000
Mg 0.0000 2.8149 2.2371
Sb 2.4378 1.4075 2.2371

---

5
Lattice="4.5834 0.0000 0.0000 0.0000 4.5834 0.0000 0.0000 0.0000 4.4695" Properties=species:S:1:pos:R:3 comment="NaHfMnPd2 PBE relaxed" formation_energy_ev_per_atom=0.8959 dos_ef_per_ev_fu=5.70 e_tot_ev_per_cell=-26.3 pbc="T T T"
Na 0.0000 0.0000 0.0000
Hf 2.2917 2.2917 2.2348
Mn 0.0000 0.0000 2.2348
Pd 0.0000 2.2917 0.0000
Pd 2.2917 0.0000 0.0000

---

4
Lattice="1.9058 1.1003 9.4886 -1.9058 1.1003 9.4886 0.0000 -2.2006 9.4886" Properties=species:S:1:pos:R:3 comment="SmHo2Pt PBE relaxed" formation_energy_ev_per_atom=-0.5131 dos_ef_per_ev_fu=4.83 e_tot_ev_per_cell=-22.0 pbc="T T T"
Sm 0.0000 0.0000 0.0000
Ho 0.0000 0.0000 6.4777
Ho 0.0000 0.0000 21.9880
Pt 0.0000 0.0000 14.2329

---

4
Lattice="0.0000 3.4123 3.4123 3.4123 0.0000 3.4123 3.4123 3.4123 0.0000" Properties=species:S:1:pos:R:3 comment="RbBe2Au PBE relaxed" formation_energy_ev_per_atom=1.0340 dos_ef_per_ev_fu=2.20 e_tot_ev_per_cell=-7.6 pbc="T T T"
Rb 0.0000 0.0000 0.0000
Be 1.7061 1.7061 1.7061
Be 5.1184 5.1184 5.1184
Au 3.4123 3.4123 3.4123